(1)
Here is crystalline GdCdPb2 at its relaxed geometry from Alexandria via LeMat-Bulk. Energies are from PBE.

Cell: 3.545 3.545 11.480 Å, 81.12 81.12 60.00°
Last column: magnetic moment on the atom in μB.
Element x y z (fractional)
Cd (0.500, 0.500, 0.500)  -0.01
Gd (0.000, 0.000, 0.000)  7.08
Pb (0.093, 0.093, 0.720)  -0.02
Pb (0.907, 0.907, 0.280)  -0.02

Values from the calculation:
* crystal system: trigonal
* excess energy over the best structure of this formula in the dataset: 439 meV per atom
* energy relative to the elements: 0.0946 eV/atom
* calculated volume: 123 Å³/cell

***

(2)
Here is crystalline TaPt2Se at its relaxed geometry from Alexandria via LeMat-Bulk. Energies are from PBE.

Cell: 6.147 5.054 2.903 Å, 89.96 61.89 118.22°
Element x y z (fractional)
Se (0.000, 0.500, 0.500)
Pt (0.500, 0.000, 0.500)
Ta (0.500, 0.500, 0.000)
Pt (0.000, 0.000, 0.000)

Values from the calculation:
* crystal system: orthorhombic
* ΔE_f (raw): -0.071 eV/atom
* calculated volume: 67 Å³/cell

***

(3)
Here is crystalline ScPtSe2 at its relaxed geometry from Alexandria via LeMat-Bulk. Energies are from PBE.

Cell: 3.773 3.829 6.083 Å, 62.85 90.00 90.00°
Element x y z (fractional)
Se (0.000, 0.035, 0.923)
Se (0.500, 0.208, 0.362)
Pt (0.000, 0.658, 0.414)
Sc (0.500, 0.599, 0.800)

Values from the calculation:
* crystal system: monoclinic
* excess energy over the best structure of this formula in the dataset: 38 meV per atom
* ΔE_f (raw): -0.960 eV/atom
* calculated volume: 78 Å³/cell

***

(4)
Here is crystalline LiHgSe2 at its relaxed geometry from Alexandria via LeMat-Bulk. Energies are from PBE.

Cell: 3.904 4.638 4.638 Å, 90.00 90.00 90.00°
Element x y z (fractional)
Hg (0.500, 0.500, 0.000)
Se (0.000, 0.500, 0.500)
Li (0.500, 0.000, 0.500)
Se (0.000, 0.000, 0.000)

Values from the calculation:
* crystal system: tetragonal
* ΔE_f (raw): -0.198 eV/atom
* calculated volume: 84 Å³/cell

***

(5)
Here is crystalline ThSc2Pb at its relaxed geometry from Alexandria via LeMat-Bulk. Energies are from PBE.

Cell: 4.474 4.820 4.820 Å, 90.00 90.00 90.00°
Element x y z (fractional)
Pb (0.500, 0.000, 0.000)
Sc (0.000, 0.500, 0.000)
Sc (0.000, 0.000, 0.500)
Th (0.500, 0.500, 0.500)

Values from the calculation:
* crystal system: tetragonal
* excess energy over the best structure of this formula in the dataset: 0 meV per atom
* energy relative to the elements: -0.2081 eV/atom
* calculated volume: 104 Å³/cell

***

(6)
Here is crystalline AsSe2I at its relaxed geometry from Alexandria via LeMat-Bulk. Energies are from PBE.

Cell: 7.527 7.527 6.758 Å, 56.15 56.15 90.00°
Element x y z (fractional)
I (0.000, 0.000, 0.000)
Se (0.375, 0.441, 0.750)
As (0.250, 0.750, 0.500)
Se (0.559, 0.125, 0.250)
As (0.500, 0.500, 0.000)
I (0.750, 0.250, 0.500)
Se (0.875, 0.809, 0.750)
Se (0.191, 0.625, 0.250)

Values from the calculation:
* crystal system: tetragonal
* excess energy over the best structure of this formula in the dataset: 212 meV per atom
* ΔE_f (raw): 0.209 eV/atom
* calculated volume: 236 Å³/cell

***

(7)
Here is crystalline TlRuW2 at its relaxed geometry from Alexandria via LeMat-Bulk. Energies are from PBE.

Cell: 4.179 2.857 6.373 Å, 63.52 90.00 90.00°
Element x y z (fractional)
Tl (0.500, 0.750, 0.750)
Ru (0.500, 0.250, 0.250)
W (0.000, 0.529, 0.469)
W (0.000, 0.971, 0.031)

Values from the calculation:
* crystal system: monoclinic
* excess energy over the best structure of this formula in the dataset: 106 meV per atom
* energy relative to the elements: 0.5941 eV/atom
* calculated volume: 68 Å³/cell

***

(8)
Here is crystalline CdFeSnBi2 at its relaxed geometry from Alexandria via LeMat-Bulk. Energies are from PBE.

Cell: 5.072 5.155 5.072 Å, 90.00 90.00 90.00°
Element x y z (fractional)
Sn (0.500, 0.500, 0.500)
Bi (0.000, 0.000, 0.500)
Cd (0.000, 0.500, 0.000)
Bi (0.500, 0.000, 0.000)
Fe (0.000, 0.000, 0.000)

Values from the calculation:
* crystal system: tetragonal
* energy relative to the elements: 0.4155 eV/atom
* calculated volume: 133 Å³/cell

***

(9)
Here is crystalline TaTe2P at its relaxed geometry from Alexandria via LeMat-Bulk. Energies are from PBE.

Cell: 9.488 9.488 9.488 Å, 21.63 21.63 21.63°
Element x y z (fractional)
P (0.000, 0.000, 0.000)
Te (0.902, 0.902, 0.902)
Te (0.098, 0.098, 0.098)
Ta (0.500, 0.500, 0.500)

Values from the calculation:
* crystal system: trigonal
* ΔE_f (raw): 0.295 eV/atom
* calculated volume: 102 Å³/cell

***

(10)
Here is crystalline KBaAs2I at its relaxed geometry from Alexandria via LeMat-Bulk. Energies are from PBE.

Cell: 5.810 5.741 5.810 Å, 90.00 90.00 90.00°
Element x y z (fractional)
I (0.000, 0.000, 0.000)
As (0.000, 0.000, 0.500)
K (0.000, 0.500, 0.000)
As (0.500, 0.000, 0.000)
Ba (0.500, 0.500, 0.500)

Values from the calculation:
* crystal system: tetragonal
* ΔE_f (raw): 0.014 eV/atom
* calculated volume: 194 Å³/cell

***

(11)
Here is crystalline Mn2AlNiC at its relaxed geometry from Alexandria via LeMat-Bulk. Energies are from PBE.

Cell: 3.801 3.824 3.801 Å, 90.00 90.00 90.00°
Last column: magnetic moment on the atom in μB.
Element x y z (fractional)
Al (0.500, 0.500, 0.500)  -0.06
Mn (0.000, 0.000, 0.500)  1.84
C (0.000, 0.000, 0.000)  -0.11
Ni (0.000, 0.500, 0.000)  0.05
Mn (0.500, 0.000, 0.000)  1.48

Values from the calculation:
* crystal system: tetragonal
* energy relative to the elements: -0.1860 eV/atom
* calculated volume: 55 Å³/cell

***

(12)
Here is crystalline AcPm3Y2 at its relaxed geometry from Alexandria via LeMat-Bulk. Energies are from PBE.

Cell: 6.373 6.373 12.194 Å, 110.27 110.27 70.94°
Element x y z (fractional)
Y (0.291, 0.041, 0.583)
Pm (0.625, 0.375, 0.250)
Pm (0.541, 0.790, 0.081)
Pm (0.459, 0.210, 0.919)
Y (0.709, 0.959, 0.417)
Pm (0.790, 0.541, 0.581)
Ac (0.874, 0.126, 0.750)
Pm (0.375, 0.625, 0.750)
Pm (0.210, 0.459, 0.419)
Y (0.959, 0.709, 0.917)
Ac (0.126, 0.874, 0.250)
Y (0.041, 0.291, 0.083)

Values from the calculation:
* crystal system: monoclinic
* excess energy over the best structure of this formula in the dataset: 0 meV per atom
* energy relative to the elements: 0.0361 eV/atom
* calculated volume: 424 Å³/cell